{
  "formula": "LaCuSe2",
  "functional": "PBE",
  "state": "relaxed",
  "sg": "Pm, No. 6",
  "lattice_angstrom": [[4.369, 0.000, 0.000], [0.000, 4.091, -0.020], [0.000, 2.071, 5.632]],
  "species": ["Cu", "La", "Se", "Se"],
  "fractional_positions": [[0.000, 0.316, 0.490], [0.500, 0.680, 0.766], [0.000, 0.107, 0.913], [0.500, 0.397, 0.332]]
}


{
  "formula": "SiRhS2",
  "functional": "PBE",
  "state": "relaxed",
  "sg": "I-42d, No. 122",
  "lattice_angstrom": [[5.327, 0.000, 0.000], [0.000, 5.327, 0.000], [2.664, 2.664, 5.075]],
  "species": ["S", "S", "S", "S", "Rh", "Rh", "Si", "Si"],
  "fractional_positions": [[0.611, 0.125, 0.250], [0.139, 0.625, 0.250], [0.375, 0.389, 0.750], [0.875, 0.861, 0.750], [0.000, 0.000, 0.000], [0.750, 0.250, 0.500], [0.500, 0.500, 0.000], [0.250, 0.750, 0.500]]
}


The records above give, respectively, energy relative to the elements, uncorrected values of -1.2281; -0.0869 eV/atom.
The records above give, respectively, calculated total energy values of -5.23; -5.34 eV/atom.